# CaMnCuCl5

CaMnCuCl5 after structural relaxation (PBE, Alexandria via LeMat-Bulk).

As for the crystal system: monoclinic.

abc: 6.7933 6.7933 9.7119
angles: 102.68 102.68 101.74
With the nearest neighbours (Å) after each atom.
Fractional coordinates of all 16 atoms:
Ca: 0.0000 0.5000 0.0000  6 Cl 2.70-2.94
Ca: 0.5000 0.0000 0.5000  6 Cl 2.70-2.94
Mn: 0.1079 0.8921 0.7500  5 Cl 2.44-2.62
Mn: 0.8921 0.1079 0.2500  5 Cl 2.44-2.62
Cu: 0.4303 0.5697 0.7500  4 Cl 2.31-2.36
Cu: 0.5697 0.4303 0.2500  4 Cl 2.31-2.36
Cl: 0.1232 0.8768 0.2500  1 Mn 2.44
Cl: 0.2101 0.3499 0.2052  1 Cu 2.31
Cl: 0.2371 0.6855 0.5657  1 Cu 2.36, 1 Mn 2.46
Cl: 0.3145 0.7629 0.9343  1 Cu 2.36, 1 Mn 2.46
Cl: 0.3499 0.2101 0.7052  1 Cu 2.31
Cl: 0.6501 0.7899 0.2948  1 Cu 2.31
Cl: 0.6855 0.2371 0.0657  1 Cu 2.36, 1 Mn 2.46
Cl: 0.7629 0.3145 0.4343  1 Cu 2.36, 1 Mn 2.46
Cl: 0.7899 0.6501 0.7948  1 Cu 2.31
Cl: 0.8768 0.1232 0.7500  1 Mn 2.44

# ZnIn2Ir

ZnIn2Ir after structural relaxation (PBE, Alexandria via LeMat-Bulk).

As for the crystal system: monoclinic. For the calculated formation energy, the calculation gives 0.109 eV per atom.

abc: 4.8870 4.8870 3.1704
angles: 90.15 90.15 106.54
With the nearest neighbours (Å) after each atom.
Fractional coordinates of all 4 atoms:
Zn: 0.0000 0.0000 0.0000  8 In 2.91-2.92, 2 Ir 2.92, 2 Zn 3.17
In: 0.0000 0.5000 0.5000  4 Ir 2.91-2.92, 4 Zn 2.91-2.92, 4 In 2.92-3.17
In: 0.5000 0.0000 0.5000  4 Ir 2.91-2.92, 4 Zn 2.91-2.92, 4 In 2.92-3.17
Ir: 0.5000 0.5000 0.0000  8 In 2.91-2.92, 2 Zn 2.92, 2 Ir 3.17

# PuBeC2

PuBeC2 after structural relaxation (PBE, Alexandria via LeMat-Bulk).

As for the crystal system: orthorhombic. For the calculated formation energy, the calculation gives -0.019 eV per atom.

abc: 3.6565 3.5917 3.5917
angles: 72.80 90.00 90.00
With the nearest neighbours (Å) after each atom.
Fractional coordinates of all 4 atoms:
Pu: 0.0000 0.0000 0.0000  8 C 2.59-2.61, 6 Be 2.88
Be: 0.5000 0.3859 0.3859  4 C 1.78-1.96
C: 0.5000 0.5356 0.8675  1 C 1.41
C: 0.5000 0.8675 0.5356  1 C 1.41

# TcIrW2

TcIrW2 after structural relaxation (PBE, Alexandria via LeMat-Bulk).

As for the crystal system: cubic. The energy above the most stable polymorph in this dataset is 347 meV/atom. For the calculated formation energy, the calculation gives 0.278 eV per atom.

abc: 4.4457 4.4457 4.4457
angles: 60.00 60.00 60.00
With the nearest neighbours (Å) after each atom.
Fractional coordinates of all 4 atoms:
Tc: 0.0000 0.0000 0.0000  8 W 2.72
Ir: 0.5000 0.5000 0.5000  8 W 2.72
W: 0.2500 0.2500 0.2500  4 Tc 2.72, 4 Ir 2.72
W: 0.7500 0.7500 0.7500  4 Tc 2.72, 4 Ir 2.72

Values of energy, in order: -35.0, -15.2, -36.6, -44.0, all in eV/f.u..